(1)
# Na3Ag2IrO6

Crystalline Na3Ag2IrO6 at its relaxed geometry (PBE-GGA, Alexandria).

Output
SG = No. 12
E = -58.34 eV per formula unit
Theoretical density = 6.094 Mg/m³
Formation energy (no corrections) = -839 meV/atom
Size of the total moment = 0.125 μB per atom
Fermi-level density of states = 0.573 states/eV per atom

Unit cell a=5.786 b=5.786 c=5.736 alpha=102.45 beta=102.45 gamma=116.86
Sites, in units of the cell vectors:
O 0.060 0.348 0.229
O 0.652 0.940 0.771
O 0.213 0.213 0.821
O 0.787 0.787 0.179
O 0.348 0.060 0.229
O 0.940 0.652 0.771
Ag 0.669 0.331 0.000
Ag 0.331 0.669 0.000
Ir 0.000 0.000 0.000
Na 0.500 0.500 0.500
Na 0.174 0.826 0.500
Na 0.826 0.174 0.500


(2)
# NaAgIr2Os

Crystalline NaAgIr2Os at its relaxed geometry (PBE-GGA, Alexandria).

Output
SG = No. 123
E = -21.39 eV per formula unit
Theoretical density = 9.906 Mg/m³
ΔE_f = 2.3458 eV per atom
Size of the total moment = 0.814 μB per atom
Fermi-level density of states = 1.371 states/eV per atom

Unit cell a=4.924 b=4.878 c=4.924 alpha=90.00 beta=90.00 gamma=90.00
Sites, in units of the cell vectors:
Na 0.500 0.500 0.500
Ag 0.000 0.000 0.000
Os 0.000 0.500 0.000
Ir 0.000 0.000 0.500
Ir 0.500 0.000 0.000


(3)
# NaAgPIr

Crystalline NaAgPIr at its relaxed geometry (PBE-GGA, Alexandria).

Output
SG = No. 129
E = -19.71 eV per formula unit
Theoretical density = 7.161 Mg/m³
ΔE_f = -0.3168 eV per atom
Size of the total moment = 0.000 μB per atom
Fermi-level density of states = 0.282 states/eV per atom

Unit cell a=3.938 b=3.938 c=10.589 alpha=90.00 beta=90.00 gamma=90.00
Sites, in units of the cell vectors:
Na 0.750 0.750 0.262
Na 0.250 0.250 0.738
P 0.750 0.750 0.876
P 0.250 0.250 0.124
Ag 0.250 0.750 0.500
Ag 0.750 0.250 0.500
Ir 0.250 0.750 0.000
Ir 0.750 0.250 0.000


(4)
# Na4AgIr3Se8

Crystalline Na4AgIr3Se8 at its relaxed geometry (PBE-GGA, Alexandria).

Output
SG = No. 166
E = -70.77 eV per formula unit
Theoretical density = 6.705 Mg/m³
Formation energy (no corrections) = -511 meV/atom
Size of the total moment = 0.000 μB per atom
Fermi-level density of states = 0.484 states/eV per atom

Unit cell a=7.780 b=8.025 c=7.781 alpha=118.98 beta=120.00 gamma=90.00
Sites, in units of the cell vectors:
Se 0.758 0.306 0.516
Se 0.290 0.307 0.048
Se 0.242 0.694 0.484
Se 0.758 0.307 0.048
Se 0.242 0.693 0.952
Se 0.728 0.684 0.456
Se 0.272 0.316 0.544
Se 0.710 0.693 0.952
Na 0.000 0.000 0.500
Na 0.500 0.000 0.500
Na 0.000 0.000 0.000
Na 0.500 0.000 0.000
Ir 0.500 0.500 0.500
Ir 0.000 0.500 0.500
Ir 0.500 0.500 0.000
Ag 0.000 0.500 0.000